Record 1
Material: AlZn2Fe
Method: DFT, meta-GGA SCAN
State: single point on PBEsol structure

Computed properties:
electronic total energy = -13.3887 eV per atom
theoretical density = 6.90 g/cm³
magnetic moment = 2.134 μB per formula unit
ΔH_f (0 K) = -0.1607 eV per atom
crystal system = tetragonal

abc: 3.6586 3.6586 3.8395
angles: 90.00 90.00 90.00
Element x y z (fractional)
Al 0.0000 0.0000 0.0000
Zn 0.0000 0.5000 0.5000
Zn 0.5000 0.0000 0.5000
Fe 0.5000 0.5000 0.0000


Record 2
Material: LaIrRu2
Method: DFT, meta-GGA SCAN
State: single point on PBEsol structure

Computed properties:
electronic total energy = -45.7063 eV per atom
theoretical density = 13.08 g/cm³
energy above the most stable polymorph in this dataset = 116 meV/atom
magnetic moment = 0.000 μB per formula unit
ΔH_f (0 K) = 0.2578 eV per atom
crystal system = orthorhombic

abc: 5.7190 5.7190 5.7190
angles: 150.91 131.44 57.61
Element x y z (fractional)
La 0.0000 0.0000 0.0000
Ir 0.7236 0.2236 0.5000
Ru 0.2775 0.7775 0.5000
Ru 0.4962 0.4962 0.0000


Record 3
Material: NaTlAsAu2
Method: DFT, meta-GGA SCAN
State: single point on PBEsol structure

Computed properties:
electronic total energy = -46.9570 eV per atom
theoretical density = 8.63 g/cm³
magnetic moment = 0.000 μB per formula unit
ΔH_f (0 K) = 0.0585 eV per atom
crystal system = tetragonal

abc: 4.8966 4.8966 5.5899
angles: 90.00 90.00 90.00
Element x y z (fractional)
Na 0.0000 0.0000 0.0000
Tl 0.5000 0.5000 0.0000
As 0.5000 0.5000 0.5000
Au 0.0000 0.5000 0.5000
Au 0.5000 0.0000 0.5000